An optimized crystal structure of Cu3Ni2, computed with PBE.

a = 3.934 Å, b = 3.934 Å, c = 4.810 Å
α = 90.00°, β = 90.00°, γ = 120.00°
Element x y z (fractional)
Cu 0.000 0.000 0.000
Cu 0.333 0.667 0.364
Cu 0.667 0.333 0.636
Ni 0.333 0.667 0.861
Ni 0.667 0.333 0.139

Calculated values
- E_form: 26.0 kJ/mol of atoms
- Theoretical density: 7.93 Mg/m³
- E_tot: -22.5 eV for the cell shown
- Space group: No. 164